# 1
A relaxed La2HCl2 crystal. Source: Alexandria, functional GGA-PBE.

Output
Polymorph energy (0 for the lowest one)   93 meV per atom

Lattice parameters (Å, degrees): 6.656 3.842 11.028 90.00 102.79 90.00
Space group C2/m (No. 12)
Asymmetric unit:
La1 0.219 0.000 0.143
H1 0.000 0.500 0.000
Cl1 0.050 0.000 0.683

# 2
A relaxed BaLiLa2 crystal. Source: Alexandria, functional GGA-PBE.

Output
Polymorph energy (0 for the lowest one)   195 meV per atom
Formation energy from the elements   287.4 meV/atom

Lattice parameters (Å, degrees): 8.449 8.449 8.449 90.00 90.00 90.00
Space group F-43m (No. 216)
Asymmetric unit:
Ba1 0.000 0.000 0.000
Li1 0.250 0.250 0.250
La1 0.000 0.000 0.500
La2 0.250 0.250 0.750

# 3
A relaxed Na4Ho3PuO8 crystal. Source: Alexandria, functional GGA-PBE.

Output
Formation energy without anion corrections   -2.694 eV/atom

Lattice parameters (Å, degrees): 6.8767 6.8767 16.7795 90.00 90.00 120.00
Space group R-3m (No. 166, hexagonal axes)
Asymmetric unit:
Na1 0.0000 0.0000 0.0000
Na2 0.0000 0.5000 0.0000
Ho1 0.0000 0.5000 0.5000
Pu1 0.0000 0.0000 0.5000
O1 0.0000 0.0000 0.2367
O2 0.0063 0.5032 0.7626

# 4
A relaxed BaTlAgCl4 crystal. Source: Alexandria, functional GGA-PBE.

Output
Formation energy without anion corrections   -1.466 eV/atom

Lattice parameters (Å, degrees): 7.438 7.102 8.978 90.00 109.40 90.00
Space group P2_1/m (No. 11)
Asymmetric unit:
Ba1 0.232 0.250 0.054
Tl1 0.269 0.250 0.559
Ag1 0.229 0.750 0.785
Cl1 0.023 0.508 0.230
Cl2 0.442 0.750 0.090
Cl3 0.443 0.750 0.621

# 5
A relaxed SrHgSb2Te crystal. Source: Alexandria, functional GGA-PBE.

Output
Formation energy without anion corrections   0.041 eV/atom
Polymorph energy (0 for the lowest one)   0 meV per atom

Lattice parameters (Å, degrees): 5.549 5.549 5.863 90.00 90.00 90.00
Space group P4/mmm (No. 123)
Asymmetric unit:
Sr1 0.000 0.000 0.000
Hg1 0.500 0.500 0.500
Sb1 0.000 0.500 0.500
Te1 0.500 0.500 0.000

# 6
A relaxed Na3AgTe3Se8 crystal. Source: Alexandria, functional GGA-PBE.

Output
Formation energy without anion corrections   -0.285 eV/atom

Lattice parameters (Å, degrees): 14.042 8.302 8.475 90.00 123.12 90.00
Space group C2/m (No. 12)
Asymmetric unit:
Na1 0.000 0.000 0.000
Na2 0.250 0.250 0.000
Ag1 0.000 0.000 0.500
Te1 0.000 0.500 0.500
Te2 0.250 0.250 0.500
Se1 0.011 0.259 0.274
Se2 0.229 0.000 0.710
Se3 0.242 0.500 0.728

# 7
A relaxed CrRh2Br crystal. Source: Alexandria, functional GGA-PBE.

Output
Formation energy without anion corrections   0.537 eV/atom
Polymorph energy (0 for the lowest one)   261 meV per atom

Lattice parameters (Å, degrees): 5.852 7.058 3.035 90.00 90.00 90.00
Space group Cmmm (No. 65)
Asymmetric unit:
Cr1 0.000 0.000 0.000
Rh1 0.250 0.250 0.500
Br1 0.000 0.500 0.000

# 8
A relaxed BaPmPb2 crystal. Source: Alexandria, functional GGA-PBE.

Output
Formation energy from the elements   -381.4 meV/atom

Lattice parameters (Å, degrees): 5.3086 5.3086 18.7252 90.00 90.00 120.00
Space group R-3m (No. 166, hexagonal axes)
Asymmetric unit:
Ba1 0.0000 0.0000 0.0000
Pm1 0.0000 0.0000 0.5000
Pb1 0.0000 0.0000 0.2306

# 9
A relaxed HoGaPb crystal. Source: Alexandria, functional GGA-PBE.

Output
Polymorph energy (0 for the lowest one)   0 meV per atom
Formation energy from the elements   -374.7 meV/atom

Lattice parameters (Å, degrees): 4.543 15.801 4.233 90.00 90.00 90.00
Space group Cmcm (No. 63)
Asymmetric unit:
Ho1 0.000 0.086 0.250
Ga1 0.000 0.448 0.250
Pb1 0.000 0.267 0.750

# 10
A relaxed Er2ScPa crystal. Source: Alexandria, functional GGA-PBE.

Output
Polymorph energy (0 for the lowest one)   171 meV per atom
Formation energy from the elements   275.5 meV/atom

Lattice parameters (Å, degrees): 5.620 5.620 3.461 90.00 90.00 90.00
Space group P4/mmm (No. 123)
Asymmetric unit:
Er1 0.000 0.500 0.000
Sc1 0.000 0.000 0.500
Pa1 0.500 0.500 0.500

# 11
A relaxed Rb3Dy2PuTe6 crystal. Source: Alexandria, functional GGA-PBE.

Output
Formation energy without anion corrections   -1.279 eV/atom

Lattice parameters (Å, degrees): 7.905 13.693 8.927 90.00 107.17 90.00
Space group C2/m (No. 12)
Asymmetric unit:
Rb1 0.000 0.000 0.000
Rb2 0.000 0.334 0.000
Dy1 0.000 0.167 0.500
Pu1 0.000 0.500 0.500
Te1 0.229 0.000 0.699
Te2 0.235 0.331 0.699

# 12
A relaxed Tb3In2Ru crystal. Source: Alexandria, functional GGA-PBE.

Output
Polymorph energy (0 for the lowest one)   146 meV per atom
Formation energy from the elements   -288.8 meV/atom

Lattice parameters (Å, degrees): 7.838 10.564 8.012 90.00 99.12 90.00
Space group C2/m (No. 12)
Asymmetric unit:
Tb1 0.168 0.000 0.165
Tb2 0.224 0.180 0.774
In1 0.000 0.000 0.500
In2 0.000 0.364 0.500
In3 0.000 0.500 0.000
Ru1 0.000 0.220 0.000

Looking at calculated total energy for the records above, in order, we have -4.749, -3.135, -7.257, -3.541, -2.633, -3.226, -5.963, -3.904, -4.146, -5.963, -5.053, -5.063 eV per atom.